Rb2BaAsI6 after structural relaxation, computed with PBE-GGA.

Computed properties:
**Formation energy (no corrections)**: -9.69 eV per formula unit
**Total DFT energy (no corrections)**: -2.7501 eV/atom
**Total magnetic moment**: 1.0 μB per formula unit

a = 9.1359 Å, b = 9.1359 Å, c = 12.4244 Å
α = 90.00°, β = 90.00°, γ = 90.00°
Last column: nearest neighbours and their distance in Å.
Space group I4/mmm (No. 139)
One atom of each set of equivalent atoms:
Rb1 0.0000 0.5000 0.2500 [4 per cell]  12 I 4.48-4.58
Ba1 0.0000 0.0000 0.0000 [2 per cell]  6 I 3.37-3.38
As1 0.0000 0.0000 0.5000 [2 per cell]  6 I 2.84-3.09
I1 0.0000 0.0000 0.2717 [4 per cell]  1 As 2.84
I2 0.2395 0.2395 0.5000 [8 per cell]  1 As 3.09, 1 Ba 3.37